The following is a DFT calculation (PBE with a Hubbard U) of a relaxed LiVPO2 crystal.

## Properties
Fermi-level density of states in states/eV/atom: 0.526
M_tot in Bohr magnetons per cell: 1.251
Energy relative to the lowest polymorph listed for this composition in meV/atom: 1028
Space group: No. 123

Cell: 3.705 3.705 4.144 Å, 90.00 90.00 90.00°
Each line ends with the local moment (μB).
Sites, in units of the cell vectors:
O 0.000 0.500 0.000  -0.31
O 0.500 0.000 0.000  -0.31
V 0.500 0.500 0.500  2.13
Li 0.000 0.000 0.000  0.01
P 0.000 0.000 0.500  -0.20